14
Lattice="5.944 -3.395 0.000 5.944 3.395 0.000 -1.749 0.000 6.842" Properties=species:S:1:pos:R:3 comment="YNbClO4 | the Alexandria database | GGA-PBE | relaxed" m_tot_mub_per_cell=0.00 raw_formation_energy_mev_per_atom=-2499 space_group=C2/m pbc="T T T"
Y 1.907 0.000 2.447
Y 8.233 0.000 4.396
Nb 0.294 0.000 5.311
Nb 9.846 0.000 1.532
Cl 4.593 0.000 4.295
Cl 5.547 0.000 2.547
O 2.998 2.006 2.457
O -0.206 0.000 1.874
O 2.395 0.000 0.279
O 7.142 2.006 4.385
O 2.998 -2.006 2.457
O 7.745 0.000 6.563
O 10.346 0.000 4.968
O 7.142 -2.006 4.385

4
Lattice="4.413 0.000 0.000 0.000 4.413 0.000 0.000 0.000 5.347" Properties=species:S:1:pos:R:3 comment="CaTl2P | the Alexandria database | GGA-PBE | relaxed" m_tot_mub_per_cell=0.00 space_group=P4/mmm ef_ev_per_fu=-1.1 de_polymorph_mev_per_atom=106.1 pbc="T T T"
Ca 0.000 0.000 0.000
Tl 0.000 2.206 2.674
Tl 2.206 0.000 2.674
P 2.206 2.206 0.000

no.,E (eV/atom),density (g/cm³)
1,-7.958,3.38
2,-3.304,7.65